Entry 1:
VASP calculation (GGA-PBE) on crystalline LaSmDySe3 at its relaxed geometry.

## Properties
Raw formation energy (eV/f.u.): -10.14
Symmetry: P2_1/m (11)
Calculated total energy (eV/cell): -69.69
Magnetic moment (μB/f.u.): 0.604

a b c (Å): 4.130 8.065 10.473
angles (deg): 102.86 90.00 90.00
Last column: magnetic moment on the atom in μB.
Fractional positions:
Sm (0.750, 0.823, 0.378)  0.14
Se (0.750, 0.905, 0.109)  0.01
Dy (0.250, 0.664, 0.094)  0.14
La (0.750, 0.819, 0.793)  0.02
Se (0.250, 0.799, 0.568)  0.01
Se (0.750, 0.201, 0.432)  0.01
Sm (0.250, 0.177, 0.622)  0.14
Se (0.250, 0.095, 0.891)  0.01
Dy (0.750, 0.336, 0.906)  0.14
La (0.250, 0.181, 0.207)  0.02
Se (0.750, 0.471, 0.187)  0.00
Se (0.250, 0.529, 0.813)  0.00



Entry 2:
VASP calculation (GGA-PBE) on crystalline La3Sm2DySe6 at its relaxed geometry.

## Properties
Raw formation energy (eV/f.u.): -22.85
Symmetry: C2/m (12)
Calculated total energy (eV/cell): -72.58
Magnetic moment (μB/f.u.): 0.000

a b c (Å): 7.310 7.310 7.344
angles (deg): 99.54 99.54 120.16
Fractional positions:
Se (0.922, 0.594, 0.764)
La (0.169, 0.831, 0.500)
Sm (0.333, 0.667, 0.000)
Se (0.594, 0.922, 0.764)
La (0.831, 0.169, 0.500)
Sm (0.667, 0.333, 0.000)
Dy (0.000, 0.000, 0.000)
Se (0.078, 0.406, 0.236)
La (0.500, 0.500, 0.500)
Se (0.752, 0.752, 0.239)
Se (0.248, 0.248, 0.761)
Se (0.406, 0.078, 0.236)



Entry 3:
VASP calculation (GGA-PBE) on crystalline La2SmDySe5 at its relaxed geometry.

## Properties
Raw formation energy (eV/f.u.): -12.83
Symmetry: P4/mmm (123)
Calculated total energy (eV/cell): -49.43
Magnetic moment (μB/f.u.): 0.750

a b c (Å): 5.141 5.141 10.908
angles (deg): 90.00 90.00 90.00
Last column: magnetic moment on the atom in μB.
Fractional positions:
Se (0.500, 0.000, 0.500)  -0.01
La (0.500, 0.500, 0.313)  0.20
Se (0.000, 0.000, 0.248)  0.00
Se (0.000, 0.000, 0.752)  0.00
La (0.500, 0.500, 0.687)  0.20
Se (0.000, 0.500, 0.500)  -0.01
Se (0.500, 0.500, 0.000)  0.00
Dy (0.000, 0.000, 0.500)  0.01
Sm (0.000, 0.000, 0.000)  0.02